No. 1
The following is a PBE calculation of a geometry-optimized Dy2Zr3TaN6 structure, from Alexandria.

Cell: 5.7020 5.7020 5.7152 Å, 99.55 99.55 119.98°
Last column: nearest neighbours and their distance in Å.
Atoms (fractional coordinates):
N 0.2345 0.2345 0.7404  3 Zr 2.28-2.36, 1 Ta 2.30, 2 Dy 2.39
N 0.7655 0.7655 0.2596  3 Zr 2.28-2.36, 1 Ta 2.30, 2 Dy 2.39
Dy 0.3339 0.6661 0.0000  6 N 2.37-2.39
N 0.5972 0.9169 0.7483  1 Ta 2.27, 3 Zr 2.29-2.39, 2 Dy 2.37
Zr 0.5000 0.5000 0.5000  6 N 2.30-2.36
Zr 0.8327 0.1673 0.5000  6 N 2.28-2.39
N 0.0831 0.4028 0.2517  1 Ta 2.27, 3 Zr 2.29-2.39, 2 Dy 2.37
N 0.4028 0.0831 0.2517  1 Ta 2.27, 3 Zr 2.29-2.39, 2 Dy 2.37
Ta 0.0000 0.0000 0.0000  6 N 2.27-2.30
N 0.9169 0.5972 0.7483  1 Ta 2.27, 3 Zr 2.29-2.39, 2 Dy 2.37
Dy 0.6661 0.3339 0.0000  6 N 2.37-2.39
Zr 0.1673 0.8327 0.5000  6 N 2.28-2.39

Properties
- Formation energy without anion corrections: -18.75 eV per formula unit
- Total DFT energy (no corrections): -9.617 eV/atom
- SG: C2/m (12)

No. 2
The following is a PBE calculation of a geometry-optimized DyZr2TaN4 structure, from Alexandria.

Cell: 3.2589 5.6769 5.6519 Å, 109.12 90.00 90.00°
Last column: nearest neighbours and their distance in Å.
Atoms (fractional coordinates):
Dy 0.5000 0.5000 0.0000  6 N 2.35-2.36
N 0.5000 0.7674 0.7590  2 Ta 2.25, 3 Zr 2.27-2.38, 1 Dy 2.35
Zr 0.5000 0.0000 0.5000  6 N 2.27
N 0.0000 0.2333 0.7465  1 Ta 2.25, 3 Zr 2.27-2.37, 2 Dy 2.36
Zr 0.0000 0.5000 0.5000  6 N 2.37-2.38
N 0.0000 0.7667 0.2535  1 Ta 2.25, 3 Zr 2.27-2.37, 2 Dy 2.36
Ta 0.0000 0.0000 0.0000  6 N 2.25
N 0.5000 0.2326 0.2410  2 Ta 2.25, 3 Zr 2.27-2.38, 1 Dy 2.35

Properties
- Formation energy without anion corrections: -11.85 eV per formula unit
- Total DFT energy (no corrections): -9.837 eV/atom
- SG: P2/m (10)

No. 3
The following is a PBE calculation of a geometry-optimized DyZrTaN3 structure, from Alexandria.

Cell: 3.1976 6.8009 8.1665 Å, 90.95 90.00 90.00°
Last column: nearest neighbours and their distance in Å.
Atoms (fractional coordinates):
N 0.7500 0.1487 0.4089  3 Ta 2.08-2.10
N 0.7500 0.8551 0.1484  2 Zr 2.25, 1 Ta 2.26, 2 Dy 2.48
Dy 0.7500 0.8676 0.8275  7 N 2.42-2.62
Ta 0.7500 0.8440 0.4245  4 N 2.08-2.26
Zr 0.2500 0.6220 0.1387  5 N 2.15-2.25
N 0.2500 0.6067 0.8753  3 Zr 2.15-2.23
N 0.7500 0.3933 0.1247  3 Zr 2.15-2.23
Zr 0.7500 0.3780 0.8613  5 N 2.15-2.25
N 0.2500 0.1449 0.8516  2 Zr 2.25, 1 Ta 2.26, 2 Dy 2.48
Dy 0.2500 0.1324 0.1725  7 N 2.42-2.62
Ta 0.2500 0.1560 0.5755  4 N 2.08-2.26
N 0.2500 0.8513 0.5911  3 Ta 2.08-2.10

Properties
- Formation energy without anion corrections: -7.15 eV per formula unit
- Total DFT energy (no corrections): -9.522 eV/atom
- SG: P2_1/m (11)

No. 4
The following is a PBE calculation of a geometry-optimized Tb5Dy3N8 structure, from Alexandria.

Cell: 6.9782 6.9782 6.9791 Å, 60.00 60.00 60.00°
Last column: nearest neighbours and their distance in Å.
Atoms (fractional coordinates):
N 0.7500 0.7500 0.2510  2 Dy 2.46, 4 Tb 2.47
N 0.2490 0.7500 0.2510  2 Dy 2.46, 4 Tb 2.47
N 0.7510 0.2500 0.7490  2 Dy 2.46, 4 Tb 2.47
Dy 0.5000 0.0000 0.5000  6 N 2.46
Tb 0.5000 0.0000 0.0000  6 N 2.47
Tb 0.0000 0.5000 0.0000  6 N 2.47
Tb 0.5000 0.5000 0.5000  6 N 2.47
N 0.2500 0.2500 0.7490  2 Dy 2.46, 4 Tb 2.47
Tb 0.5000 0.5000 0.0000  6 N 2.47
Dy 0.0000 0.5000 0.5000  6 N 2.46
Dy 0.0000 0.0000 0.5000  6 N 2.46
N 0.2495 0.2495 0.2515  3 Dy 2.46, 3 Tb 2.47
N 0.7500 0.2490 0.2510  2 Dy 2.46, 4 Tb 2.47
N 0.7505 0.7505 0.7485  3 Dy 2.46, 3 Tb 2.47
N 0.2500 0.7510 0.7490  2 Dy 2.46, 4 Tb 2.47
Tb 0.0000 0.0000 0.0000  6 N 2.47

Properties
- Formation energy without anion corrections: -26.85 eV per formula unit
- Total DFT energy (no corrections): -8.151 eV/atom
- SG: R-3m (166)

Question: Which value of total DFT energy (no corrections) does entry 3 give?
Answer: -9.522 eV/atom

Question: Among the records above, which one has the lowest formation energy without anion corrections?
Answer: Tb5Dy3N8

Question: Look up the total DFT energy (no corrections) of the fourth one.
Answer: -8.151 eV/atom

Question: Number 1 is which compound?
Answer: Dy2Zr3TaN6